[1]
Entry from the Alexandria database: crystalline Y6Rh2Pb at its relaxed geometry (PBE).

abc: 9.4974 9.7972 10.3875
angles: 90.00 90.00 90.00
Space group Immm (No. 71)
Inequivalent atoms, fractional coordinates:
Y (0.0000, 0.2066, 0.2364)
Y (0.1912, 0.5000, 0.1707)
Y (0.2114, 0.3184, 0.5000)
Rh (0.0000, 0.3382, 0.0000)
Rh (0.0000, 0.5000, 0.3686)
Pb (0.0000, 0.0000, 0.0000)
Pb (0.0000, 0.0000, 0.5000)

Calculated values
E	-6.94	eV per atom

[2]
Entry from the Alexandria database: crystalline La2Pr3Nd5 at its relaxed geometry (PBE).

abc: 12.3858 17.5951 6.7093
angles: 90.00 90.00 90.00
Space group Ibam (No. 72)
Inequivalent atoms, fractional coordinates:
La (0.0815, 0.1674, 0.0000)
Pr (0.0000, 0.0000, 0.2500)
Pr (0.0922, 0.3319, 0.5000)
Nd (0.0000, 0.5000, 0.2500)
Nd (0.2402, 0.3319, 0.0000)
Nd (0.2495, 0.0000, 0.2500)

Calculated values
excess energy over the best structure of this formula in the dataset	0.83	eV per formula unit
E	-4.56	eV per atom

Number 1: formation energy from the elements -0.586 eV/atom. Number 2: formation energy from the elements 0.239 eV/atom.